Entry 1:
Density functional theory data (PBE-GGA) for a relaxed Tb12Cd3N5 crystal.

```
Tb12Cd3N5
1.0
-7.846 7.846 7.846
7.846 -7.846 7.846
7.846 7.846 -7.846
Tb Cd N
48 12 20
Cartesian
2.313 -0.606 0.777
9.456 4.701 -4.529
10.159 0.606 0.777
9.456 -3.146 4.529
7.241 -0.777 2.313
12.375 -1.610 3.146
0.777 2.313 -0.606
10.992 3.318 -1.610
4.701 4.529 -1.610
7.069 2.313 0.606
-0.606 0.777 2.313
4.529 -1.610 4.701
7.241 7.069 -2.313
4.529 1.610 3.146
4.701 -4.529 9.456
7.069 -2.313 7.241
3.146 4.529 1.610
8.624 5.533 0.606
4.529 9.456 -3.146
7.241 0.777 5.533
2.313 7.241 -0.777
9.456 3.146 3.318
1.610 3.146 4.529
2.313 0.606 7.069
5.533 7.241 0.777
6.236 4.701 3.318
-1.610 4.701 4.529
5.533 0.606 8.624
0.606 7.069 2.313
3.318 -1.610 10.992
-0.777 2.313 7.241
4.701 3.318 6.236
0.777 10.159 0.606
3.146 12.375 -1.610
3.318 6.236 4.701
0.606 0.777 10.159
3.318 9.456 3.146
8.452 7.069 5.533
0.777 5.533 7.241
3.146 3.318 9.456
-3.146 4.529 9.456
7.069 5.533 8.452
-4.529 9.456 4.701
0.606 8.624 5.533
-1.610 10.992 3.318
-2.313 7.241 7.069
-1.610 3.146 12.375
5.533 8.452 7.069
3.923 1.962 0.000
7.846 3.923 -1.962
1.962 0.000 3.923
9.808 0.000 3.923
0.000 3.923 1.962
3.923 -1.962 7.846
3.923 9.808 0.000
7.846 3.923 5.885
-1.962 7.846 3.923
5.885 7.846 3.923
0.000 3.923 9.808
3.923 5.885 7.846
0.000 0.000 0.000
3.923 3.923 -3.923
3.923 -3.923 3.923
7.846 0.000 0.000
11.769 1.962 0.000
7.846 -3.923 5.885
5.885 7.846 -3.923
5.885 0.000 3.923
3.923 5.885 0.000
7.846 3.923 1.962
-3.923 3.923 3.923
0.000 7.846 0.000
0.000 0.000 7.846
3.923 3.923 3.923
0.000 3.923 5.885
3.923 1.962 7.846
1.962 7.846 3.923
1.962 0.000 11.769
0.000 11.769 1.962
-3.923 5.885 7.846
```

Computed properties:
Magnetization   0.00 μB/f.u.
Mass density   7.96 g cm⁻³
DOS(E_F)   0.798 states/eV per atom
Raw formation energy   -0.747 eV per atom



Entry 2:
Density functional theory data (PBE-GGA) for a relaxed Na2Tl crystal.

```
Na2Tl
1.0
0.000 4.486 4.486
4.486 0.000 4.486
4.486 4.486 0.000
Na Tl
4 2
Cartesian
0.000 0.000 0.000
2.243 2.243 0.000
2.243 0.000 2.243
0.000 2.243 2.243
3.365 3.365 3.365
5.608 5.608 5.608
```

Computed properties:
Energy relative to the lowest polymorph listed for this composition   0.140 eV/atom
Magnetization   0.00 μB/f.u.
ΔE_f   0.040 eV per atom
Mass density   4.60 g cm⁻³
DOS(E_F)   0.479 states/eV per atom



Entry 3:
Density functional theory data (PBE-GGA) for a relaxed Sn2Pd3Se2 crystal.

```
Sn2Pd3Se2
1.0
5.670 -2.176 0.000
5.670 2.176 0.000
-0.713 0.000 6.526
Sn Pd Se
2 3 2
Cartesian
1.226 0.000 2.641
9.402 0.000 3.885
2.632 0.000 4.971
5.314 0.000 3.263
7.995 0.000 1.555
3.792 0.000 1.116
6.836 0.000 5.410
```

Computed properties:
Energy relative to the lowest polymorph listed for this composition   0.095 eV/atom
Magnetization   0.00 μB/f.u.
Mass density   7.37 g cm⁻³
DOS(E_F)   0.465 states/eV per atom
Raw formation energy   -0.309 eV per atom



Entry 4:
Density functional theory data (PBE-GGA) for a relaxed LiEr2TmRh4 crystal.

```
LiEr2TmRh4
1.0
2.333 1.347 7.632
-2.333 1.347 7.632
0.000 -2.694 7.632
Li Er Tm Rh
1 2 1 4
Cartesian
0.000 0.000 0.000
0.000 0.000 5.892
0.000 0.000 17.005
0.000 0.000 11.449
0.000 0.000 2.850
0.000 0.000 8.632
0.000 0.000 14.265
0.000 0.000 20.047
```

Computed properties:
Magnetization   0.00 μB/f.u.
ΔE_f   -0.777 eV per atom
Mass density   10.64 g cm⁻³
DOS(E_F)   0.387 states/eV per atom



Entry 5:
Density functional theory data (PBE-GGA) for a relaxed LiWAu2 crystal.

```
LiWAu2
1.0
-1.378 2.211 5.904
1.378 -2.211 5.904
1.378 2.211 -5.904
Li W Au
1 1 2
Cartesian
0.000 0.000 0.000
1.378 0.000 2.783
0.000 0.000 5.131
0.000 2.211 1.886
```

Computed properties:
Energy relative to the lowest polymorph listed for this composition   0.194 eV/atom
Magnetization   0.00 μB/f.u.
ΔE_f   0.215 eV per atom
Mass density   13.49 g cm⁻³
DOS(E_F)   0.369 states/eV per atom



Entry 6:
Density functional theory data (PBE-GGA) for a relaxed BaTa2Ru crystal.

```
BaTa2Ru
1.0
3.206 0.000 0.000
0.000 3.206 0.000
0.000 0.000 8.740
Ba Ta Ru
1 2 1
Cartesian
0.000 0.000 0.000
0.000 0.000 3.901
1.603 1.603 5.742
1.603 1.603 2.569
```

Computed properties:
Energy relative to the lowest polymorph listed for this composition   0.000 eV/atom
Magnetization   0.00 μB/f.u.
ΔE_f   0.354 eV per atom
Mass density   11.10 g cm⁻³
DOS(E_F)   0.898 states/eV per atom



Entry 7:
Density functional theory data (PBE-GGA) for a relaxed Li2Cu12Ni5 crystal.

```
Li2Cu12Ni5
1.0
6.848 -2.473 0.000
6.848 2.473 0.000
-2.517 0.000 7.681
Li Cu Ni
2 12 5
Cartesian
6.848 1.292 0.000
6.848 -1.292 0.000
-0.736 0.000 2.787
1.877 1.208 6.817
3.607 1.256 3.158
4.843 0.000 1.368
7.572 1.256 4.523
9.302 1.208 0.863
1.877 -1.208 6.817
3.607 -1.256 3.158
6.336 0.000 6.313
7.572 -1.256 4.523
9.302 -1.208 0.863
11.915 0.000 4.893
-0.209 0.000 6.540
1.607 0.000 2.647
5.590 0.000 3.840
9.572 0.000 5.033
11.389 0.000 1.140
```

Computed properties:
Magnetization   0.00 μB/f.u.
ΔE_f   0.266 eV per atom
Mass density   6.83 g cm⁻³
DOS(E_F)   0.500 states/eV per atom



Entry 8:
Density functional theory data (PBE-GGA) for a relaxed NdZr3 crystal.

```
NdZr3
1.0
4.661 0.000 0.000
0.000 4.661 0.000
0.000 0.000 4.661
Nd Zr
1 3
Cartesian
0.000 0.000 0.000
0.000 2.330 2.330
2.330 0.000 2.330
2.330 2.330 0.000
```

Computed properties:
Energy relative to the lowest polymorph listed for this composition   0.049 eV/atom
Magnetization   0.00 μB/f.u.
ΔE_f   0.181 eV per atom
Mass density   6.85 g cm⁻³
DOS(E_F)   1.403 states/eV per atom